## TlPRh2 (GGA-PBE)

Data for a relaxed structure of TlPRh2.

```
TlPRh2
1.0
-2.456 -3.527 1.145
1.473 -1.834 -2.490
3.789 -1.835 2.476
Tl P Rh
1 1 2
direct
0.000 0.429 0.509
0.500 0.889 0.848
0.500 0.319 0.150
0.000 0.864 0.994
```

Space group   Pm
DFT formation energy   -0.1599 eV/atom


## Cs2NaNiI6 (GGA-PBE)

Data for a relaxed structure of Cs2NaNiI6.

```
Cs2NaNiI6
1.0
7.655 0.000 0.000
0.000 8.137 0.000
0.000 -4.068 7.047
I Ni Na Cs
6 1 1 2
direct
0.206 0.316 0.158
0.794 0.158 0.842
0.206 0.842 0.684
0.794 0.158 0.316
0.794 0.684 0.842
0.206 0.842 0.158
0.000 0.000 0.000
0.500 0.000 0.000
0.796 0.667 0.333
0.204 0.333 0.667
```

Space group   P-3m1
Formation energy from raw total energies   -0.869 eV per atom


## SrTcW2 (GGA-PBE)

Data for a relaxed structure of SrTcW2.

```
SrTcW2
1.0
-1.825 -0.559 -3.812
-0.831 -2.686 0.791
-6.236 1.247 2.803
W Sr Tc
2 1 1
direct
0.000 0.993 0.994
0.500 0.262 0.167
0.000 0.507 0.505
0.500 0.738 0.834
```

Space group   Pm
DFT formation energy   0.7438 eV/atom
Distance to the lowest polymorph of the same formula   0.065 eV per atom


## TbNd2Sm (GGA-PBE)

Data for a relaxed structure of TbNd2Sm.

```
TbNd2Sm
1.0
4.973 0.000 -1.330
-0.503 4.766 -1.883
-1.004 -0.435 6.209
Sm Nd Tb
1 2 1
direct
0.250 0.750 0.500
0.750 0.250 0.500
0.000 0.000 0.000
0.500 0.500 0.000
```

Space group   I-4m2
DFT formation energy   0.0152 eV/atom
Distance to the lowest polymorph of the same formula   0.004 eV per atom


## TaCrAu2 (GGA-PBE)

Data for a relaxed structure of TaCrAu2.

```
TaCrAu2
1.0
-1.602 1.714 -3.270
2.353 -2.272 -2.345
-2.904 -2.904 -0.100
Ta Cr Au
1 1 2
direct
0.000 0.500 0.500
0.500 0.000 0.500
0.000 0.000 0.000
0.500 0.500 0.000
```

Space group   P4/mmm
DFT formation energy   0.1392 eV/atom
Distance to the lowest polymorph of the same formula   0.056 eV per atom


## LaCe2Ni2Ge2 (GGA-PBE)

Data for a relaxed structure of LaCe2Ni2Ge2.

```
LaCe2Ni2Ge2
1.0
-3.360 -2.295 -1.293
0.417 -4.192 -0.691
-3.197 -3.816 8.031
La Ge Ni Ce
1 2 2 2
direct
0.000 0.000 0.000
0.741 0.741 0.778
0.259 0.259 0.222
0.583 0.583 0.252
0.417 0.417 0.748
0.138 0.138 0.585
0.862 0.862 0.415
```

Space group   R-3m
DFT formation energy   -0.6489 eV/atom


## As2Ru (GGA-PBE)

Data for a relaxed structure of As2Ru.

```
As2Ru
1.0
3.254 0.000 0.000
-1.627 2.818 0.000
0.000 0.000 5.557
As Ru
2 1
direct
0.333 0.667 0.305
0.667 0.333 0.695
0.000 0.000 0.000
```

Space group   P-3m1
DFT formation energy   -0.0333 eV/atom


## HoThRuI (GGA-PBE)

Data for a relaxed structure of HoThRuI.

```
HoThRuI
1.0
4.105 -0.001 0.001
-2.052 3.555 0.000
-2.049 -1.183 8.138
Ho Th I Ru
1 1 1 1
direct
0.513 0.155 0.684
0.085 0.940 0.040
0.974 0.385 0.374
0.305 0.551 0.872
```

Space group   R3m
Formation energy from raw total energies   -0.714 eV per atom